Entry 1:
NaPdRh2S | PBE | relaxed

a = 4.4006 Å, b = 4.5893 Å, c = 4.4006 Å
α = 90.00°, β = 90.00°, γ = 90.00°
Sites, in units of the cell vectors:
Na 0.5000 0.5000 0.5000
S 0.0000 0.0000 0.0000
Pd 0.0000 0.5000 0.0000
Rh 0.5000 0.0000 0.0000
Rh 0.0000 0.0000 0.5000

## Properties
Space group: P4/mmm
E, eV/atom: -5.14

Entry 2:
NaPdRhSe3 | PBE | relaxed

a = 3.8052 Å, b = 7.7187 Å, c = 8.8226 Å
α = 100.61°, β = 90.00°, γ = 90.00°
Sites, in units of the cell vectors:
Na 0.2500 0.1784 0.2440
Se 0.7500 0.4396 0.1368
Se 0.7500 0.8671 0.1244
Na 0.7500 0.8216 0.7560
Pd 0.2500 0.1057 0.5785
Se 0.2500 0.1329 0.8756
Rh 0.7500 0.3419 0.8476
Rh 0.2500 0.6581 0.1524
Se 0.2500 0.5604 0.8632
Se 0.2500 0.7017 0.4447
Se 0.7500 0.2983 0.5553
Pd 0.7500 0.8943 0.4215

## Properties
Space group: P2_1/m
E, eV/atom: -4.52

Entry 3:
Na2Sn4Pd3Rh | PBE | relaxed

a = 4.4290 Å, b = 4.4290 Å, c = 11.4187 Å
α = 90.00°, β = 90.00°, γ = 90.00°
Sites, in units of the cell vectors:
Sn 0.0000 0.5000 0.3712
Na 0.5000 0.0000 0.2575
Na 0.0000 0.5000 0.7425
Sn 0.5000 0.0000 0.6288
Sn 0.0000 0.0000 0.0000
Pd 0.0000 0.5000 0.1395
Pd 0.0000 0.0000 0.5000
Sn 0.5000 0.5000 0.0000
Pd 0.5000 0.0000 0.8605
Rh 0.5000 0.5000 0.5000

## Properties
Space group: P-4m2
Energy relative to the elements, eV/atom: -0.3883
E, eV/atom: -4.55